## MgTaIrF2 (PBE-GGA)

Data for crystalline MgTaIrF2 at its relaxed geometry.

Output
Mass density (kg/m³): 8503
Formation energy (no corrections) (eV per formula unit): -6.5
Raw total energy (eV per cell): -32.6

a = 3.682 Å, b = 6.272 Å, c = 3.682 Å
α = 90.00°, β = 90.00°, γ = 90.00°
Fractional positions:
Mg1 0.000 0.000 0.000
Ir1 0.000 0.500 0.000
F1 0.000 0.000 0.500
F2 0.500 0.000 0.000
Ta1 0.500 0.500 0.500

=====

## ScTl2Te2 (PBE-GGA)

Data for crystalline ScTl2Te2 at its relaxed geometry.

Output
Mass density (kg/m³): 7823
Formation energy (no corrections) (eV per formula unit): -0.3
ΔE to the lowest computed polymorph (eV/f.u.): 2.92
Raw total energy (eV per cell): -35.4

a = 8.260 Å, b = 8.260 Å, c = 4.411 Å
α = 90.00°, β = 90.00°, γ = 90.00°
Last column: magnetic moment on the atom in μB.
Fractional positions:
Sc1 0.000 0.000 0.000  0.53
Sc2 0.500 0.500 0.000  0.53
Tl1 0.370 0.870 0.000  0.02
Tl2 0.870 0.630 0.000  0.02
Tl3 0.630 0.130 0.000  0.02
Tl4 0.130 0.370 0.000  0.02
Te1 0.182 0.682 0.500  -0.03
Te2 0.682 0.818 0.500  -0.03
Te3 0.818 0.318 0.500  -0.03
Te4 0.318 0.182 0.500  -0.03

=====

## Y2NiBPd (PBE-GGA)

Data for crystalline Y2NiBPd at its relaxed geometry.

Output
Mass density (kg/m³): 6132
DFT formation energy (eV/atom): -0.441
ΔE to the lowest computed polymorph (eV/f.u.): 0.00
Raw total energy (eV per cell): -32.8

a = 5.068 Å, b = 5.068 Å, c = 3.730 Å
α = 90.00°, β = 90.00°, γ = 90.00°
Fractional positions:
Y1 0.000 0.500 0.000
Y2 0.500 0.000 0.000
Ni1 0.000 0.000 0.500
B1 0.000 0.000 0.000
Pd1 0.500 0.500 0.500

=====

## Sm2Y2ErTm (PBE-GGA)

Data for crystalline Sm2Y2ErTm at its relaxed geometry.

Output
Mass density (kg/m³): 7035
DFT formation energy (eV/atom): 0.061
Raw total energy (eV per cell): -62.1

a = 5.632 Å, b = 7.029 Å, c = 9.716 Å
α = 90.00°, β = 90.00°, γ = 90.00°
Fractional positions:
Sm1 0.000 0.258 0.817
Sm2 0.500 0.258 0.350
Sm3 0.000 0.758 0.183
Sm4 0.500 0.758 0.650
Y1 0.500 0.008 0.000
Y2 0.000 0.258 0.156
Y3 0.500 0.508 0.000
Y4 0.000 0.758 0.844
Er1 0.500 0.258 0.679
Er2 0.500 0.758 0.321
Tm1 0.000 0.008 0.500
Tm2 0.000 0.508 0.500

=====

Copy entry 2 word for word.
## ScTl2Te2 (PBE-GGA)

Data for crystalline ScTl2Te2 at its relaxed geometry.

Output
Mass density (kg/m³): 7823
Formation energy (no corrections) (eV per formula unit): -0.3
ΔE to the lowest computed polymorph (eV/f.u.): 2.92
Raw total energy (eV per cell): -35.4

a = 8.260 Å, b = 8.260 Å, c = 4.411 Å
α = 90.00°, β = 90.00°, γ = 90.00°
Last column: magnetic moment on the atom in μB.
Fractional positions:
Sc1 0.000 0.000 0.000  0.53
Sc2 0.500 0.500 0.000  0.53
Tl1 0.370 0.870 0.000  0.02
Tl2 0.870 0.630 0.000  0.02
Tl3 0.630 0.130 0.000  0.02
Tl4 0.130 0.370 0.000  0.02
Te1 0.182 0.682 0.500  -0.03
Te2 0.682 0.818 0.500  -0.03
Te3 0.818 0.318 0.500  -0.03
Te4 0.318 0.182 0.500  -0.03

=====

- Among the records above, which one has the highest mass density?
  MgTaIrF2

=====

- Which value of raw total energy does entry 1 give?
  -32.6 eV per cell